# 1
The following is a PBE calculation of a relaxed KSe2Br crystal, from the Alexandria database.

## Properties
**VASP energy**: -2.702 eV/atom
**Total magnetization**: 0.2 μB per formula unit
**Raw formation energy**: -267.5 meV per atom

Cell and atoms, written as CIF:
```
data_KSe2Br
_cell_length_a 5.7677
_cell_length_b 13.5980
_cell_length_c 2.8821
_cell_angle_alpha 90.00
_cell_angle_beta 90.00
_cell_angle_gamma 90.00
_symmetry_space_group_name_H-M 'C m m m'
_symmetry_Int_Tables_number 65
_symmetry_space_group_name_Hall '-C 2 2'
loop_
_atom_site_label
_atom_site_type_symbol
_atom_site_fract_x
_atom_site_fract_y
_atom_site_fract_z
_atom_site_occupancy
K1 K 0.0000 0.0000 0.0000 1
Se1 Se 0.2500 0.2500 0.5000 1
Br1 Br 0.0000 0.5000 0.0000 1
```

---

# 2
The following is a PBE calculation of a relaxed Cs3Tl2As2 crystal, from the Alexandria database.

## Properties
**Formation energy from the elements**: -6.00 kcal/mol of atoms
**VASP energy**: -2.631 eV/atom
**Total magnetization**: 0.0 μB per formula unit

Cell and atoms, written as CIF:
```
data_Cs3Tl2As2
_cell_length_a 4.5046
_cell_length_b 5.6685
_cell_length_c 23.9145
_cell_angle_alpha 90.00
_cell_angle_beta 90.00
_cell_angle_gamma 90.00
_symmetry_space_group_name_H-M 'I m m m'
_symmetry_Int_Tables_number 71
_symmetry_space_group_name_Hall '-I 2 2'
loop_
_atom_site_label
_atom_site_type_symbol
_atom_site_fract_x
_atom_site_fract_y
_atom_site_fract_z
_atom_site_occupancy
Cs1 Cs 0.0000 0.0000 0.0000 1
Cs2 Cs 0.0000 0.5000 0.3060 1
Tl1 Tl 0.0000 0.0000 0.4253 1
As1 As 0.0000 0.5000 0.1439 1
```